1.
A plane-wave DFT calculation with PBE was carried out for a geometry-optimized MgZr2Ru structure.

## Properties
Total energy ... -7.174 eV/atom
Energy relative to the elements ... -0.182 eV per atom
Total magnetization ... 0.00 μB/cell
N(E_F) ... 1.008 states/eV/atom

```
MgZr2Ru
1.0
-1.661 2.385 5.008
1.661 -2.385 5.008
1.661 2.385 -5.008
Mg Zr Ru
1 2 1
Cartesian
0.000 0.000 0.000
1.661 0.000 2.873
0.000 0.000 5.693
0.000 2.385 2.774
```

---

2.
A plane-wave DFT calculation with PBE was carried out for a geometry-optimized MgZr5Ru6 structure.

## Properties
Total energy ... -8.914 eV/atom
Energy relative to the elements ... -0.582 eV per atom
Total magnetization ... 0.00 μB/cell
N(E_F) ... 0.259 states/eV/atom

```
MgZr5Ru6
1.0
-2.296 3.263 6.894
2.296 -3.263 6.894
2.296 3.263 -6.894
Mg Zr Ru
1 5 6
Cartesian
0.000 0.000 0.000
2.296 0.000 2.194
0.000 0.000 4.572
0.000 3.263 0.000
0.000 0.000 9.216
0.000 3.263 4.700
2.296 -1.611 4.571
2.296 1.676 0.000
0.000 1.652 2.323
2.296 1.611 4.571
0.000 1.587 6.894
0.000 4.874 2.323
```

---

3.
A plane-wave DFT calculation with PBE was carried out for a geometry-optimized MgZr2Ru structure.

## Properties
Total energy ... -7.039 eV/atom
Energy relative to the elements ... -0.047 eV per atom
Total magnetization ... 0.00 μB/cell
N(E_F) ... 1.029 states/eV/atom

```
MgZr2Ru
1.0
-2.038 2.038 4.633
2.038 -2.038 4.633
2.038 2.038 -4.633
Mg Zr Ru
1 2 1
Cartesian
0.000 0.000 0.000
0.000 0.000 4.633
0.000 2.038 2.317
2.038 0.000 2.317
```